[1]
BaMnRu: optimized geometry, PBE-GGA.

Structure (CIF):
```
data_BaMnRu
_space_group_name_H-M_alt 'P 1'
_space_group_IT_number 1
_cell_length_a 4.775
_cell_length_b 4.775
_cell_length_c 4.775
_cell_angle_alpha 60.00
_cell_angle_beta 60.00
_cell_angle_gamma 60.00
loop_
_space_group_symop_operation_xyz
'x,y,z'
loop_
_atom_site_label
_atom_site_type_symbol
_atom_site_fract_x
_atom_site_fract_y
_atom_site_fract_z
Mn1 Mn 0.000 0.000 0.000
Ba1 Ba 0.750 0.750 0.750
Ru1 Ru 0.500 0.500 0.500
```

Total magnetic moment (μB/cell): 4.7
Formation enthalpy at 0 K (eV per atom): 1.6929
Final energy (eV for the cell shown): -15.29
Offset from the most stable computed form (meV per atom): 1180
Symmetry: No. 216

---

[2]
Li6In12Sn: optimized geometry, PBE-GGA.

Structure (CIF):
```
data_Li6In12Sn
_space_group_name_H-M_alt 'P 1'
_space_group_IT_number 1
_cell_length_a 8.144
_cell_length_b 8.144
_cell_length_c 8.144
_cell_angle_alpha 106.10
_cell_angle_beta 106.10
_cell_angle_gamma 106.10
loop_
_space_group_symop_operation_xyz
'x,y,z'
loop_
_atom_site_label
_atom_site_type_symbol
_atom_site_fract_x
_atom_site_fract_y
_atom_site_fract_z
In1 In 0.756 0.014 0.269
In2 In 0.244 0.986 0.731
In3 In 0.198 0.548 0.587
In4 In 0.731 0.244 0.986
In5 In 0.548 0.587 0.198
In6 In 0.986 0.731 0.244
In7 In 0.802 0.452 0.413
In8 In 0.014 0.269 0.756
In9 In 0.269 0.756 0.014
In10 In 0.413 0.802 0.452
In11 In 0.452 0.413 0.802
In12 In 0.587 0.198 0.548
Li1 Li 0.417 0.178 0.146
Li2 Li 0.146 0.417 0.178
Li3 Li 0.178 0.146 0.417
Li4 Li 0.583 0.822 0.854
Li5 Li 0.822 0.854 0.583
Li6 Li 0.854 0.583 0.822
Sn1 Sn 0.000 0.000 0.000
```

Total magnetic moment (μB/cell): 0.0
Formation enthalpy at 0 K (eV per atom): -0.1068
Final energy (eV for the cell shown): -50.38
Offset from the most stable computed form (meV per atom): 37
Symmetry: No. 148

---

[3]
LiUBr4: optimized geometry, PBE-GGA.

Structure (CIF):
```
data_LiUBr4
_space_group_name_H-M_alt 'P 1'
_space_group_IT_number 1
_cell_length_a 7.369
_cell_length_b 7.086
_cell_length_c 7.551
_cell_angle_alpha 90.00
_cell_angle_beta 90.00
_cell_angle_gamma 90.00
loop_
_space_group_symop_operation_xyz
'x,y,z'
loop_
_atom_site_label
_atom_site_type_symbol
_atom_site_fract_x
_atom_site_fract_y
_atom_site_fract_z
Br1 Br 0.206 0.785 0.826
Br2 Br 0.268 0.250 0.653
Br3 Br 0.732 0.250 0.347
Br4 Br 0.206 0.215 0.174
Br5 Br 0.268 0.750 0.347
Br6 Br 0.732 0.750 0.653
Br7 Br 0.794 0.215 0.826
Br8 Br 0.794 0.785 0.174
U1 U 0.000 0.000 0.500
U2 U 0.000 0.500 0.000
Li1 Li 0.500 0.000 0.500
Li2 Li 0.000 0.000 0.000
```

Total magnetic moment (μB/cell): 6.0
E_form (uncorrected) (meV per atom): -1230.3
Final energy (eV for the cell shown): -54.55
Offset from the most stable computed form (meV per atom): 100
Symmetry: No. 16

---

[4]
MgNiPb2: optimized geometry, PBE-GGA.

Structure (CIF):
```
data_MgNiPb2
_space_group_name_H-M_alt 'P 1'
_space_group_IT_number 1
_cell_length_a 3.279
_cell_length_b 3.279
_cell_length_c 8.602
_cell_angle_alpha 90.00
_cell_angle_beta 90.00
_cell_angle_gamma 90.00
loop_
_space_group_symop_operation_xyz
'x,y,z'
loop_
_atom_site_label
_atom_site_type_symbol
_atom_site_fract_x
_atom_site_fract_y
_atom_site_fract_z
Mg1 Mg 0.000 0.000 0.565
Ni1 Ni 0.500 0.500 0.724
Pb1 Pb 0.000 0.000 0.923
Pb2 Pb 0.500 0.500 0.288
```

Total magnetic moment (μB/cell): 0.0
Formation enthalpy at 0 K (eV per atom): 0.0259
Final energy (eV for the cell shown): -14.69
Symmetry: No. 99

---

[5]
U2Tl3CuO9: optimized geometry, PBE-GGA.

Structure (CIF):
```
data_U2Tl3CuO9
_space_group_name_H-M_alt 'P 1'
_space_group_IT_number 1
_cell_length_a 5.966
_cell_length_b 5.966
_cell_length_c 7.324
_cell_angle_alpha 90.00
_cell_angle_beta 90.00
_cell_angle_gamma 120.00
loop_
_space_group_symop_operation_xyz
'x,y,z'
loop_
_atom_site_label
_atom_site_type_symbol
_atom_site_fract_x
_atom_site_fract_y
_atom_site_fract_z
O1 O 0.833 0.665 0.668
O2 O 0.167 0.833 0.332
O3 O 0.000 0.500 0.000
O4 O 0.335 0.167 0.668
O5 O 0.665 0.833 0.332
O6 O 0.500 0.000 0.000
O7 O 0.833 0.167 0.668
O8 O 0.167 0.335 0.332
O9 O 0.500 0.500 0.000
Tl1 Tl 0.333 0.667 0.656
Tl2 Tl 0.000 0.000 0.000
Tl3 Tl 0.667 0.333 0.344
U1 U 0.333 0.667 0.181
U2 U 0.667 0.333 0.819
Cu1 Cu 0.000 0.000 0.500
```

Total magnetic moment (μB/cell): 1.7
E_form (uncorrected) (meV per atom): -1869.0
Final energy (eV for the cell shown): -106.43
Symmetry: No. 164

---

[6]
SmDyTeSe2: optimized geometry, PBE-GGA.

Structure (CIF):
```
data_SmDyTeSe2
_space_group_name_H-M_alt 'P 1'
_space_group_IT_number 1
_cell_length_a 4.656
_cell_length_b 4.656
_cell_length_c 7.822
_cell_angle_alpha 107.31
_cell_angle_beta 107.31
_cell_angle_gamma 90.00
loop_
_space_group_symop_operation_xyz
'x,y,z'
loop_
_atom_site_label
_atom_site_type_symbol
_atom_site_fract_x
_atom_site_fract_y
_atom_site_fract_z
Sm1 Sm 0.136 0.136 0.273
Se1 Se 0.252 0.752 0.504
Se2 Se 0.752 0.252 0.504
Dy1 Dy 0.858 0.858 0.717
Te1 Te 0.501 0.501 0.002
```

Total magnetic moment (μB/cell): 0.0
E_form (uncorrected) (meV per atom): -1352.5
Final energy (eV for the cell shown): -26.19
Symmetry: No. 107

---

[7]
CoTe2Se: optimized geometry, PBE-GGA.

Structure (CIF):
```
data_CoTe2Se
_space_group_name_H-M_alt 'P 1'
_space_group_IT_number 1
_cell_length_a 7.446
_cell_length_b 7.446
_cell_length_c 7.446
_cell_angle_alpha 29.27
_cell_angle_beta 29.27
_cell_angle_gamma 29.27
loop_
_space_group_symop_operation_xyz
'x,y,z'
loop_
_atom_site_label
_atom_site_type_symbol
_atom_site_fract_x
_atom_site_fract_y
_atom_site_fract_z
Se1 Se 0.750 0.750 0.750
Co1 Co 0.250 0.250 0.250
Te1 Te 0.981 0.981 0.981
Te2 Te 0.519 0.519 0.519
```

Total magnetic moment (μB/cell): 0.0
E_form (uncorrected) (meV per atom): 26.1
Final energy (eV for the cell shown): -16.77
Symmetry: No. 166

---

[8]
Be3Mo: optimized geometry, PBE-GGA.

Structure (CIF):
```
data_Be3Mo
_space_group_name_H-M_alt 'P 1'
_space_group_IT_number 1
_cell_length_a 4.515
_cell_length_b 4.515
_cell_length_c 4.515
_cell_angle_alpha 90.00
_cell_angle_beta 90.00
_cell_angle_gamma 90.00
loop_
_space_group_symop_operation_xyz
'x,y,z'
loop_
_atom_site_label
_atom_site_type_symbol
_atom_site_fract_x
_atom_site_fract_y
_atom_site_fract_z
Mo1 Mo 0.000 0.000 0.000
Be1 Be 0.500 0.000 0.000
Be2 Be 0.000 0.500 0.000
Be3 Be 0.000 0.000 0.500
```

Total magnetic moment (μB/cell): 1.8
Formation enthalpy at 0 K (eV per atom): 2.0979
Final energy (eV for the cell shown): -13.62
Offset from the most stable computed form (meV per atom): 2330
Symmetry: No. 221

---

[9]
Cs2RbCaCl5: optimized geometry, PBE-GGA.

Structure (CIF):
```
data_Cs2RbCaCl5
_space_group_name_H-M_alt 'P 1'
_space_group_IT_number 1
_cell_length_a 5.341
_cell_length_b 7.799
_cell_length_c 9.538
_cell_angle_alpha 114.13
_cell_angle_beta 106.26
_cell_angle_gamma 90.00
loop_
_space_group_symop_operation_xyz
'x,y,z'
loop_
_atom_site_label
_atom_site_type_symbol
_atom_site_fract_x
_atom_site_fract_y
_atom_site_fract_z
Cl1 Cl 0.619 0.367 0.238
Cl2 Cl 0.381 0.128 0.762
Cl3 Cl 0.381 0.633 0.762
Cl4 Cl 0.000 0.000 0.000
Cl5 Cl 0.619 0.872 0.238
Cs1 Cs 0.209 0.209 0.417
Cs2 Cs 0.791 0.791 0.583
Ca1 Ca 0.500 0.000 0.000
Rb1 Rb 0.000 0.500 0.000
```

Total magnetic moment (μB/cell): 0.0
E_form (uncorrected) (meV per atom): -2105.3
Final energy (eV for the cell shown): -32.86
Symmetry: No. 71

---

[10]
HgP: optimized geometry, PBE-GGA.

Structure (CIF):
```
data_HgP
_space_group_name_H-M_alt 'P 1'
_space_group_IT_number 1
_cell_length_a 3.229
_cell_length_b 5.673
_cell_length_c 6.366
_cell_angle_alpha 116.09
_cell_angle_beta 105.54
_cell_angle_gamma 89.99
loop_
_space_group_symop_operation_xyz
'x,y,z'
loop_
_atom_site_label
_atom_site_type_symbol
_atom_site_fract_x
_atom_site_fract_y
_atom_site_fract_z
Hg1 Hg 0.000 0.500 0.500
Hg2 Hg 0.500 0.000 0.500
P1 P 0.249 0.629 0.999
P2 P 0.751 0.371 0.001
```

Total magnetic moment (μB/cell): 0.0
Formation enthalpy at 0 K (eV per atom): 0.0729
Final energy (eV for the cell shown): -11.13
Offset from the most stable computed form (meV per atom): 44
Symmetry: No. 2

---

[11]
Tl2ReTe: optimized geometry, PBE-GGA.

Structure (CIF):
```
data_Tl2ReTe
_space_group_name_H-M_alt 'P 1'
_space_group_IT_number 1
_cell_length_a 2.923
_cell_length_b 2.923
_cell_length_c 12.868
_cell_angle_alpha 90.00
_cell_angle_beta 90.00
_cell_angle_gamma 90.00
loop_
_space_group_symop_operation_xyz
'x,y,z'
loop_
_atom_site_label
_atom_site_type_symbol
_atom_site_fract_x
_atom_site_fract_y
_atom_site_fract_z
Re1 Re 0.500 0.500 0.250
Te1 Te 0.500 0.500 0.750
Tl1 Tl 0.000 0.000 0.056
Tl2 Tl 0.000 0.000 0.444
```

Total magnetic moment (μB/cell): 0.0
E_form (uncorrected) (meV per atom): 820.7
Final energy (eV for the cell shown): -17.04
Offset from the most stable computed form (meV per atom): 414
Symmetry: No. 123

---

[12]
Tl2GeF5: optimized geometry, PBE-GGA.

Structure (CIF):
```
data_Tl2GeF5
_space_group_name_H-M_alt 'P 1'
_space_group_IT_number 1
_cell_length_a 6.380
_cell_length_b 6.380
_cell_length_c 6.070
_cell_angle_alpha 121.72
_cell_angle_beta 121.72
_cell_angle_gamma 90.00
loop_
_space_group_symop_operation_xyz
'x,y,z'
loop_
_atom_site_label
_atom_site_type_symbol
_atom_site_fract_x
_atom_site_fract_y
_atom_site_fract_z
F1 F 0.220 0.220 0.011
F2 F 0.220 0.791 0.011
F3 F 0.780 0.780 0.560
F4 F 0.791 0.220 0.011
F5 F 0.791 0.791 0.010
Tl1 Tl 0.736 0.236 0.472
Tl2 Tl 0.236 0.736 0.472
Ge1 Ge 0.003 0.003 0.007
```

Total magnetic moment (μB/cell): 1.0
E_form (uncorrected) (meV per atom): -1978.4
Final energy (eV for the cell shown): -34.53
Symmetry: No. 107

---

Among the records above, which one has the highest final energy? HgP

---

What did the fourth record say?
MgNiPb2: optimized geometry, PBE-GGA.

Structure (CIF):
```
data_MgNiPb2
_space_group_name_H-M_alt 'P 1'
_space_group_IT_number 1
_cell_length_a 3.279
_cell_length_b 3.279
_cell_length_c 8.602
_cell_angle_alpha 90.00
_cell_angle_beta 90.00
_cell_angle_gamma 90.00
loop_
_space_group_symop_operation_xyz
'x,y,z'
loop_
_atom_site_label
_atom_site_type_symbol
_atom_site_fract_x
_atom_site_fract_y
_atom_site_fract_z
Mg1 Mg 0.000 0.000 0.565
Ni1 Ni 0.500 0.500 0.724
Pb1 Pb 0.000 0.000 0.923
Pb2 Pb 0.500 0.500 0.288
```

Total magnetic moment (μB/cell): 0.0
Formation enthalpy at 0 K (eV per atom): 0.0259
Final energy (eV for the cell shown): -14.69
Symmetry: No. 99

---

The highest total magnetic moment belongs to which entry? LiUBr4

---

Which of these has the highest final energy? HgP